{
  "formula": "Fe3H9S2O15",
  "functional": "GGA+U",
  "state": "optimized geometry",
  "cell": [[-5.935, 2.025, 3.472], [-2.332, -4.279, 5.263], [0.685, 2.410, 6.763]],
  "species": ["Fe", "Fe", "Fe", "H", "H", "H", "H", "H", "H", "H", "H", "H", "S", "S", "O", "O", "O", "O", "O", "O", "O", "O", "O", "O", "O", "O", "O", "O", "O"],
  "frac_coords": [[0.003, 0.000, 0.501], [0.498, 0.013, 0.994], [0.003, 0.504, 0.991], [0.307, 0.724, 0.301], [0.306, 0.307, 0.715], [0.719, 0.300, 0.302], [0.708, 0.281, 0.700], [0.694, 0.708, 0.278], [0.285, 0.697, 0.687], [0.140, 0.924, 0.978], [0.935, 0.099, 0.112], [0.887, 0.902, 0.068], [0.303, 0.319, 0.301], [0.684, 0.698, 0.698], [0.388, 0.407, 0.385], [0.601, 0.610, 0.614], [0.163, 0.181, 0.490], [0.495, 0.183, 0.161], [0.165, 0.505, 0.164], [0.824, 0.835, 0.509], [0.490, 0.837, 0.837], [0.818, 0.514, 0.839], [0.271, 0.884, 0.263], [0.264, 0.270, 0.876], [0.883, 0.250, 0.243], [0.730, 0.128, 0.722], [0.753, 0.759, 0.115], [0.123, 0.738, 0.730], [0.981, 0.006, 0.012]],
  "magmom_total_mub_per_cell": 15.00,
  "dos_ef_per_ev_fu": 0.00,
  "relative_energy_mev_per_atom": 0,
  "sg": "P1"
}